Entry 1:
Compound: CaMg7
Source: the Alexandria database
Functional: PBE
Structure: relaxed

Cell: 6.6307 6.6307 5.2686 Å, 90.00 90.00 120.00°
Space group P-6m2 (No. 187)
One atom of each set of equivalent atoms:
Ca 0.0000 0.0000 0.0000 [1 per cell]
Mg 0.0050 0.5025 0.0000 [3 per cell]
Mg 0.1718 0.3437 0.5000 [3 per cell]
Mg 0.6667 0.3333 0.5000 [1 per cell]

Output
The formation energy comes out at 0.006 eV/atom. As for the total energy: -1.639 eV per atom.



Entry 2:
Compound: Ba2SmCd12Ag3
Source: the Alexandria database
Functional: PBE
Structure: relaxed

Cell: 8.4512 8.4512 27.2740 Å, 90.00 90.00 120.00°
Space group R-3m (No. 166, hexagonal axes)
One atom of each set of equivalent atoms:
Ba 0.0000 0.0000 0.1150 [6 per cell]
Sm 0.0000 0.0000 0.5000 [3 per cell]
Cd 0.0872 0.5436 0.2707 [18 per cell]
Cd 0.0944 0.5472 0.8925 [18 per cell]
Ag 0.0000 0.5000 0.0000 [9 per cell]

Output
The formation energy comes out at 0.037 eV/atom. As for the total energy: -1.524 eV per atom.



Please write out number 1 again, unchanged.
Compound: CaMg7
Source: the Alexandria database
Functional: PBE
Structure: relaxed

Cell: 6.6307 6.6307 5.2686 Å, 90.00 90.00 120.00°
Space group P-6m2 (No. 187)
One atom of each set of equivalent atoms:
Ca 0.0000 0.0000 0.0000 [1 per cell]
Mg 0.0050 0.5025 0.0000 [3 per cell]
Mg 0.1718 0.3437 0.5000 [3 per cell]
Mg 0.6667 0.3333 0.5000 [1 per cell]

Output
The formation energy comes out at 0.006 eV/atom. As for the total energy: -1.639 eV per atom.